[1]
Compound: LiSc2Nb
Source: Alexandria
Functional: PBE
Structure: optimized geometry

Offset from the most stable computed form (meV/atom): 164
DFT formation energy (kJ per mole of atoms): 26.9

```
4
Lattice="0.000 3.456 3.456 3.456 0.000 3.456 3.456 3.456 0.000" Properties=species:S:1:pos:R:3 pbc="T T T"
Li 0.000 0.000 0.000
Sc 1.728 1.728 1.728
Sc 5.184 5.184 5.184
Nb 3.456 3.456 3.456
```

=====

[2]
Compound: LiSc2Nb
Source: Alexandria
Functional: PBE
Structure: optimized geometry

Offset from the most stable computed form (meV/atom): 47
DFT formation energy (kJ per mole of atoms): 15.6

```
4
Lattice="1.561 0.901 10.321 -1.561 0.901 10.321 0.000 -1.802 10.321" Properties=species:S:1:pos:R:3 pbc="T T T"
Li 0.000 0.000 0.000
Sc 0.000 0.000 7.564
Sc 0.000 0.000 23.400
Nb 0.000 0.000 15.482
```

=====

[3]
Compound: Li2ScNb
Source: Alexandria
Functional: PBE
Structure: optimized geometry

Offset from the most stable computed form (meV/atom): 144
DFT formation energy (kJ per mole of atoms): 61.3

```
8
Lattice="-3.736 3.736 2.612 3.736 -3.736 2.612 3.736 3.736 -2.612" Properties=species:S:1:pos:R:3 pbc="T T T"
Li 1.868 -1.865 1.959
Li 1.871 1.868 0.653
Li 1.868 5.601 -0.653
Li 1.865 1.868 3.265
Sc 0.000 0.000 0.000
Sc 0.000 3.736 1.306
Nb 3.736 0.000 1.306
Nb 0.000 0.000 2.612
```